# 1
First-principles (GGA-PBE) data for a geometry-optimized BaLiZnSi2 structure, as listed in Alexandria.

Unit cell a=6.118 b=6.118 c=6.118 alpha=136.60 beta=136.60 gamma=63.06
Sites, in units of the cell vectors:
Ba1 0.000 0.000 0.000
Li1 0.250 0.750 0.500
Zn1 0.750 0.250 0.500
Si1 0.385 0.385 0.000
Si2 0.615 0.615 0.000

N(E_F)   1.70 states/eV/cell
ΔE_f (raw)   -0.315 eV/atom



# 2
First-principles (GGA-PBE) data for a geometry-optimized YSn2Ge structure, as listed in Alexandria.

Unit cell a=6.613 b=6.613 c=6.613 alpha=102.24 beta=102.24 gamma=125.18
Sites, in units of the cell vectors:
Y1 0.000 0.000 0.000
Y2 0.750 0.250 0.500
Sn1 0.158 0.625 0.033
Sn2 0.375 0.408 0.533
Sn3 0.592 0.125 0.967
Sn4 0.875 0.842 0.467
Ge1 0.250 0.750 0.500
Ge2 0.500 0.500 0.000

ΔE_f   -0.24 eV/atom
N(E_F)   5.00 states/eV/cell



# 3
First-principles (GGA-PBE) data for a geometry-optimized Y3ICl2O6 structure, as listed in Alexandria.

Unit cell a=6.804 b=6.804 c=5.490 alpha=98.88 beta=98.88 gamma=59.28
Sites, in units of the cell vectors:
Y1 0.000 0.000 0.000
Y2 0.000 0.500 0.500
Y3 0.500 0.000 0.500
I1 0.500 0.500 0.500
Cl1 0.202 0.202 0.845
Cl2 0.798 0.798 0.155
O1 0.186 0.686 0.708
O2 0.314 0.814 0.292
O3 0.328 0.328 0.331
O4 0.672 0.672 0.669
O5 0.686 0.186 0.708
O6 0.814 0.314 0.292

N(E_F)   0.00 states/eV/cell
ΔE_f (raw)   -2.061 eV/atom



| no. | magnetic moment (μB/f.u.) |
| --- | --- |
| 1 | 0.00 |
| 2 | 0.00 |
| 3 | 0.00 |